Entry 1:
The following is a DFT calculation (PBE) of a geometry-optimized GeBTe2N structure.

a = 5.757 Å, b = 5.757 Å, c = 3.425 Å
α = 90.00°, β = 90.00°, γ = 90.00°
Element x y z (fractional)
Ge1 0.000 0.000 0.000
Te1 0.000 0.500 0.000
Te2 0.500 0.000 0.000
N1 0.000 0.000 0.500
B1 0.500 0.500 0.500

Properties
Offset from the most stable computed form, meV per atom: 1204.9
Formation energy without anion corrections, eV per formula unit: 7.1
Calculated volume, Å³ per atom: 22.71
Symmetry: No. 123
Mass density, Mg/m³: 5.2

Entry 2:
The following is a DFT calculation (PBE) of a geometry-optimized ReRuAu2 structure.

a = 2.845 Å, b = 2.845 Å, c = 8.072 Å
α = 90.00°, β = 90.00°, γ = 90.00°
Element x y z (fractional)
Re1 0.000 0.000 0.526
Ru1 0.500 0.500 0.723
Au1 0.500 0.500 0.263
Au2 0.000 0.000 0.989

Properties
Offset from the most stable computed form, meV per atom: 0.0
Calculated volume, Å³ per atom: 16.34
Symmetry: No. 99
Mass density, Mg/m³: 17.3
Energy of formation from the pure elements, eV per atom: 0.16

Entry 3:
The following is a DFT calculation (PBE) of a geometry-optimized MgGa6Au structure.

a = 5.491 Å, b = 5.491 Å, c = 6.026 Å
α = 102.68°, β = 102.68°, γ = 103.45°
Element x y z (fractional)
Ga1 0.803 0.364 0.809
Ga2 0.636 0.197 0.191
Ga3 0.197 0.636 0.191
Ga4 0.808 0.808 0.345
Ga5 0.192 0.192 0.655
Ga6 0.364 0.803 0.809
Au1 0.500 0.500 0.500
Mg1 0.000 0.000 0.000

Properties
Calculated volume, Å³ per atom: 20.65
Symmetry: No. 12
Mass density, Mg/m³: 6.4
Energy of formation from the pure elements, eV per atom: -0.04

Entry 4:
The following is a DFT calculation (PBE) of a geometry-optimized TePtSe2N structure.

a = 5.339 Å, b = 5.339 Å, c = 3.827 Å
α = 90.00°, β = 90.00°, γ = 90.00°
Element x y z (fractional)
N1 0.000 0.000 0.500
Te1 0.000 0.000 0.000
Se1 0.500 0.000 0.000
Se2 0.000 0.500 0.000
Pt1 0.500 0.500 0.500

Properties
Offset from the most stable computed form, meV per atom: 783.1
Formation energy without anion corrections, eV per formula unit: 6.6
Calculated volume, Å³ per atom: 21.81
Symmetry: No. 123
Mass density, Mg/m³: 7.5

Entry 5:
The following is a DFT calculation (PBE) of a geometry-optimized KRuN2 structure.

a = 7.012 Å, b = 7.012 Å, c = 7.012 Å
α = 26.40°, β = 26.40°, γ = 26.40°
Element x y z (fractional)
K1 0.000 0.000 0.000
N1 0.122 0.122 0.122
N2 0.878 0.878 0.878
Ru1 0.500 0.500 0.500

Properties
Offset from the most stable computed form, meV per atom: 604.0
Formation energy without anion corrections, eV per formula unit: 2.9
Calculated volume, Å³ per atom: 15.02
Symmetry: No. 166
Mass density, Mg/m³: 4.6

Entry 6:
The following is a DFT calculation (PBE) of a geometry-optimized LiAgC2O4 structure.

a = 5.380 Å, b = 3.802 Å, c = 9.929 Å
α = 89.22°, β = 90.00°, γ = 90.00°
Element x y z (fractional)
C1 0.703 0.050 0.438
C2 0.828 0.844 0.558
C3 0.172 0.844 0.058
C4 0.297 0.050 0.938
O1 0.844 0.104 0.337
O2 0.041 0.722 0.532
O3 0.710 0.813 0.669
O4 0.479 0.148 0.446
O5 0.156 0.104 0.837
O6 0.290 0.813 0.169
O7 0.521 0.148 0.946
O8 0.959 0.722 0.032
Li1 0.813 0.914 0.857
Li2 0.187 0.914 0.357
Ag1 0.341 0.406 0.662
Ag2 0.659 0.406 0.162

Properties
Offset from the most stable computed form, meV per atom: 4.8
Formation energy without anion corrections, eV per formula unit: -9.2
Calculated volume, Å³ per atom: 12.69
Symmetry: No. 7
Mass density, Mg/m³: 3.3

Q: Among the records above, which one has the lowest calculated volume?
A: LiAgC2O4